Compound: Bi3BPd
Source: Alexandria via LeMat-Bulk
Functional: PBE
Structure: optimized geometry Values from VASP.

Results
E above lowest polymorph = 0.0 meV/atom
DOS(E_F) = 0.58 states/eV/atom
Formation energy from the elements = 764.6 meV/atom
Spin magnetization = 0.0 μB per formula unit

Geometry as Quantum ESPRESSO input:
```
&SYSTEM
  ibrav = 0, nat = 5, ntyp = 3
/
ATOMIC_SPECIES
B 10.81 B.upf
Bi 208.98 Bi.upf
Pd 106.42 Pd.upf
ATOMIC_POSITIONS crystal
B 0.0000 0.0000 0.0000
Bi 0.0000 0.5000 0.0000
Bi 0.0000 0.0000 0.5000
Bi 0.5000 0.0000 0.0000
Pd 0.5000 0.5000 0.5000
CELL_PARAMETERS angstrom
-2.1872 -2.4842 3.7041
-1.9428 -3.1829 -3.2817
4.0146 -2.8937 0.4299
```

=====

Compound: CaRe3Ru
Source: Alexandria via LeMat-Bulk
Functional: PBE
Structure: optimized geometry Values from VASP.

Results
E above lowest polymorph = 1665.0 meV/atom
DOS(E_F) = 0.78 states/eV/atom
Formation energy from the elements = 3318.9 meV/atom
Spin magnetization = 0.0 μB per formula unit

Geometry as Quantum ESPRESSO input:
```
&SYSTEM
  ibrav = 0, nat = 5, ntyp = 3
/
ATOMIC_SPECIES
Re 186.21 Re.upf
Ca 40.08 Ca.upf
Ru 101.07 Ru.upf
ATOMIC_POSITIONS crystal
Re 0.0000 0.5000 0.0000
Re 0.0000 0.0000 0.5000
Re 0.5000 0.0000 0.0000
Ca 0.0000 0.0000 0.0000
Ru 0.5000 0.5000 0.5000
CELL_PARAMETERS angstrom
4.4859 0.0000 0.0000
0.0000 4.4859 0.0000
0.0000 0.0000 4.4859
```

=====

Compound: SmHo4Zn4
Source: Alexandria via LeMat-Bulk
Functional: PBE
Structure: optimized geometry Values from VASP.

Results
DOS(E_F) = 0.91 states/eV/atom
Formation energy from the elements = -142.2 meV/atom
Spin magnetization = 0.0 μB per formula unit

Geometry as Quantum ESPRESSO input:
```
&SYSTEM
  ibrav = 0, nat = 18, ntyp = 3
/
ATOMIC_SPECIES
Sm 150.36 Sm.upf
Ho 164.93 Ho.upf
Zn 65.41 Zn.upf
ATOMIC_POSITIONS crystal
Sm 0.0000 0.0000 0.0000
Sm 0.5000 0.5000 0.5000
Ho 0.4998 0.3916 0.8488
Ho 0.9998 0.6512 0.8916
Ho 0.4998 0.6084 0.1512
Ho 0.0002 0.1084 0.6512
Ho 0.5002 0.8488 0.6084
Ho 0.0002 0.8916 0.3488
Ho 0.9998 0.3488 0.1084
Ho 0.5002 0.1512 0.3916
Zn 0.5002 0.9220 0.1819
Zn 0.5002 0.0780 0.8181
Zn 0.0002 0.6819 0.5780
Zn 0.9998 0.4220 0.6819
Zn 0.9998 0.5780 0.3181
Zn 0.4998 0.1819 0.0780
Zn 0.4998 0.8181 0.9220
Zn 0.0002 0.3181 0.4220
CELL_PARAMETERS angstrom
5.0633 0.0000 0.0000
0.0000 9.4824 0.0000
0.0000 0.0000 9.4824
```

=====

Compound: La2Nd6HoEr
Source: Alexandria via LeMat-Bulk
Functional: PBE
Structure: optimized geometry Values from VASP.

Results
DOS(E_F) = 1.54 states/eV/atom
Formation energy from the elements = 112.6 meV/atom
Spin magnetization = 0.0 μB per formula unit

Geometry as Quantum ESPRESSO input:
```
&SYSTEM
  ibrav = 0, nat = 20, ntyp = 4
/
ATOMIC_SPECIES
La 138.91 La.upf
Nd 144.24 Nd.upf
Ho 164.93 Ho.upf
Er 167.26 Er.upf
ATOMIC_POSITIONS crystal
La 0.4588 0.8064 0.7090
La 0.0412 0.2910 0.1936
La 0.5412 0.1936 0.2910
La 0.9588 0.7090 0.8064
Nd 0.0561 0.1235 0.7439
Nd 0.4439 0.2561 0.8765
Nd 0.9439 0.8765 0.2561
Nd 0.5561 0.7439 0.1235
Nd 0.3106 0.9816 0.4180
Nd 0.1894 0.5820 0.0184
Nd 0.6894 0.0184 0.5820
Nd 0.8106 0.4180 0.9816
Nd 0.1214 0.7055 0.5023
Nd 0.3786 0.4977 0.2945
Nd 0.8786 0.2945 0.4977
Nd 0.6214 0.5023 0.7055
Ho 0.2500 0.9871 0.0129
Ho 0.7500 0.0129 0.9871
Er 0.2500 0.4049 0.5951
Er 0.7500 0.5951 0.4049
CELL_PARAMETERS angstrom
2.5433 5.7433 -7.9176
-0.0693 -7.6795 -4.5417
-7.8107 4.0506 1.4805
```

=====

What did the first record say?
Compound: Bi3BPd
Source: Alexandria via LeMat-Bulk
Functional: PBE
Structure: optimized geometry Values from VASP.

Results
E above lowest polymorph = 0.0 meV/atom
DOS(E_F) = 0.58 states/eV/atom
Formation energy from the elements = 764.6 meV/atom
Spin magnetization = 0.0 μB per formula unit

Geometry as Quantum ESPRESSO input:
```
&SYSTEM
  ibrav = 0, nat = 5, ntyp = 3
/
ATOMIC_SPECIES
B 10.81 B.upf
Bi 208.98 Bi.upf
Pd 106.42 Pd.upf
ATOMIC_POSITIONS crystal
B 0.0000 0.0000 0.0000
Bi 0.0000 0.5000 0.0000
Bi 0.0000 0.0000 0.5000
Bi 0.5000 0.0000 0.0000
Pd 0.5000 0.5000 0.5000
CELL_PARAMETERS angstrom
-2.1872 -2.4842 3.7041
-1.9428 -3.1829 -3.2817
4.0146 -2.8937 0.4299
```

=====

Which value of DOS(E_F) does entry 1 give? 0.58 states/eV/atom

=====

Number 2 is which compound? CaRe3Ru